No. 1
First-principles (PBE) data for a relaxed KZnIn2O crystal, as listed in Alexandria via LeMat-Bulk.

Cell: 6.5138 3.5548 6.5138 Å, 90.00 90.00 90.00°
Positions (direct):
1 In 0.0000 0.0000 0.5000
2 In 0.5000 0.0000 0.0000
3 O 0.0000 0.5000 0.0000
4 Zn 0.0000 0.0000 0.0000
5 K 0.5000 0.5000 0.5000

Values from the calculation:
The calculation puts the raw formation energy at -0.096 eV/atom. As for the raw total energy: -13.288 eV for the cell shown. For the density of states at the Fermi level, the calculation gives 0.82 states/eV/atom. Its space-group type is P4/mmm, No. 123.

=====

No. 2
First-principles (PBE) data for a relaxed KInOs crystal, as listed in Alexandria via LeMat-Bulk.

Cell: 6.6676 6.6676 6.6676 Å, 154.53 141.14 47.04°
Positions (direct):
1 K 0.3319 0.3319 0.0000
2 In 0.0638 0.0638 0.0000
3 Os 0.6043 0.6043 0.0000

Values from the calculation:
As for the raw total energy: -12.960 eV for the cell shown. For the density of states at the Fermi level, the calculation gives 0.79 states/eV/atom. Its space-group type is Imm2, No. 44. For the relative energy among the computed polymorphs, the calculation gives 0 meV per atom.

=====

No. 3
First-principles (PBE) data for a relaxed KInOs4 crystal, as listed in Alexandria via LeMat-Bulk.

Cell: 5.3432 5.3432 5.3432 Å, 60.00 60.00 60.00°
Each line ends with the local moment (μB).
Positions (direct):
1 Os 0.8737 0.3754 0.3754  0.22
2 Os 0.3754 0.3754 0.3754  0.22
3 Os 0.3754 0.8737 0.3754  0.22
4 Os 0.3754 0.3754 0.8737  0.22
5 In 0.7500 0.7500 0.7500  -0.01
6 K 0.0000 0.0000 0.0000  0.00

Values from the calculation:
As for the raw total energy: -43.019 eV for the cell shown. For the density of states at the Fermi level, the calculation gives 1.52 states/eV/atom. Its space-group type is F-43m, No. 216.

=====

No. 4
First-principles (PBE) data for a relaxed KInOs crystal, as listed in Alexandria via LeMat-Bulk.

Cell: 6.6538 6.6538 6.6538 Å, 148.38 148.38 45.32°
Positions (direct):
1 Os 0.6142 0.6142 0.0000
2 K 0.3281 0.3281 0.0000
3 In 0.0576 0.0576 0.0000

Values from the calculation:
As for the raw total energy: -12.651 eV for the cell shown. For the density of states at the Fermi level, the calculation gives 0.78 states/eV/atom. Its space-group type is I4mm, No. 107. For the relative energy among the computed polymorphs, the calculation gives 103 meV per atom.

=====

No. 5
First-principles (PBE) data for a relaxed KInOs crystal, as listed in Alexandria via LeMat-Bulk.

Cell: 3.0276 3.0276 8.1372 Å, 90.00 90.00 120.00°
Positions (direct):
1 Os 0.6667 0.3333 0.6887
2 In 0.0000 0.0000 0.9636
3 K 0.3333 0.6667 0.3477

Values from the calculation:
As for the raw total energy: -12.416 eV for the cell shown. For the density of states at the Fermi level, the calculation gives 0.42 states/eV/atom. Its space-group type is P3m1, No. 156. For the relative energy among the computed polymorphs, the calculation gives 182 meV per atom.

=====

No. 6
First-principles (PBE) data for a relaxed KInOs crystal, as listed in Alexandria via LeMat-Bulk.

Cell: 8.0078 8.0078 2.9361 Å, 79.43 79.43 21.13°
Positions (direct):
1 Os 0.6520 0.6519 0.3480
2 In 0.0224 0.0223 0.9776
3 K 0.3256 0.3258 0.6744

Values from the calculation:
As for the raw total energy: -12.547 eV for the cell shown. For the density of states at the Fermi level, the calculation gives 0.52 states/eV/atom. Its space-group type is I4mm, No. 107. For the relative energy among the computed polymorphs, the calculation gives 138 meV per atom.